i.
A relaxed structure of PtPb2NO, computed with PBE. Values from VASP.

Cell and atoms, written as Quantum ESPRESSO input:
```
&SYSTEM
  ibrav = 0, nat = 5, ntyp = 4
/
ATOMIC_SPECIES
O 16.00 O.upf
N 14.01 N.upf
Pb 207.20 Pb.upf
Pt 195.08 Pt.upf
CELL_PARAMETERS angstrom
5.5685 0.0000 -0.0065
0.0000 3.7366 0.0000
-0.9978 0.0000 5.8008
ATOMIC_POSITIONS crystal
O 0.8041 0.0000 0.9385
N 0.4183 0.0000 0.3242
Pb 0.9341 0.0000 0.3248
Pb 0.5602 0.5000 0.8550
Pt 0.4213 0.5000 0.3237
```

Crystal system ... monoclinic
Calculated volume ... 24.1 A^3/atom


ii.
A relaxed structure of PtPb2NO, computed with PBE. Values from VASP.

Cell and atoms, written as Quantum ESPRESSO input:
```
&SYSTEM
  ibrav = 0, nat = 10, ntyp = 4
/
ATOMIC_SPECIES
Pb 207.20 Pb.upf
N 14.01 N.upf
Pt 195.08 Pt.upf
O 16.00 O.upf
CELL_PARAMETERS angstrom
5.5508 0.0000 0.0590
0.0000 3.7285 0.0000
-2.5074 0.0000 11.9055
ATOMIC_POSITIONS crystal
Pb 0.3453 0.0000 0.3692
Pb 0.3453 0.5000 0.8692
Pb 0.7319 0.5000 0.5999
Pb 0.7319 0.0000 0.0999
N 0.2130 0.0000 0.0945
N 0.2130 0.5000 0.5945
Pt 0.2135 0.5000 0.0918
Pt 0.2135 0.0000 0.5918
O 0.5919 0.0000 0.9138
O 0.5919 0.5000 0.4138
```

Crystal system ... monoclinic
Calculated volume ... 24.7 A^3/atom


iii.
A relaxed structure of PtPb2NO, computed with PBE. Values from VASP.

Cell and atoms, written as Quantum ESPRESSO input:
```
&SYSTEM
  ibrav = 0, nat = 5, ntyp = 4
/
ATOMIC_SPECIES
O 16.00 O.upf
Pb 207.20 Pb.upf
Pt 195.08 Pt.upf
N 14.01 N.upf
CELL_PARAMETERS angstrom
-1.1626 0.2151 4.0024
3.9144 -2.2308 0.4711
0.9748 5.8801 -0.0407
ATOMIC_POSITIONS crystal
O 0.1405 0.3179 0.7351
Pb 0.6709 0.5753 0.7142
Pb 0.1474 0.3829 0.1447
Pt 0.8838 0.9818 0.4197
N 0.6826 0.6464 0.1244
```

Crystal system ... triclinic
Calculated volume ... 20.8 A^3/atom


iv.
A relaxed structure of PtPb2NO, computed with PBE. Values from VASP.

Cell and atoms, written as Quantum ESPRESSO input:
```
&SYSTEM
  ibrav = 0, nat = 5, ntyp = 4
/
ATOMIC_SPECIES
Pb 207.20 Pb.upf
Pt 195.08 Pt.upf
O 16.00 O.upf
N 14.01 N.upf
CELL_PARAMETERS angstrom
3.7815 0.0145 -0.0262
0.1244 4.3880 0.0180
1.7158 0.9863 5.7144
ATOMIC_POSITIONS crystal
Pb 0.5951 0.8487 0.8651
Pb 0.2868 0.5337 0.4317
Pt 0.9395 0.1678 0.1634
O 0.1239 0.4880 0.8515
N 0.7634 0.8661 0.4544
```

Crystal system ... triclinic
Calculated volume ... 19.0 A^3/atom


Stability verdict: i, ahead by 1.8 kJ/mol of atoms